Computed, not measured: a relaxed structure of LiTbCoGe2 at the PBE level of DFT.

Values from the calculation:
formation energy = -0.531 eV/atom
magnetization = 0.59 μB/cell
DOS(E_F) = 3.3 states/eV/cell
symmetry = No. 119

Lattice parameters (Å, degrees): 4.054 4.054 5.847 110.28 110.28 90.00
Sites, in units of the cell vectors:
1 Li 0.250 0.750 0.500
2 Tb 0.000 0.000 0.000
3 Co 0.750 0.250 0.500
4 Ge 0.625 0.625 0.250
5 Ge 0.375 0.375 0.750